Entry from Alexandria via LeMat-Bulk: crystalline FeMoClO4 at its relaxed geometry (PBE with a Hubbard U).

Output
**Energy**: -6.336 eV per atom
**D(E_F)**: 0.000 states/eV per cell

Unit cell a=5.6108 b=6.7877 c=6.7856 alpha=90.00 beta=90.13 gamma=90.00
Closest atoms and distances in Å follow each position.
Atoms (fractional coordinates):
Fe: 0.2332 0.2500 0.2492  4 O 1.99
Fe: 0.7668 0.7500 0.7508  4 O 1.99
Mo: 0.5002 0.2500 0.7500  4 O 1.79
Mo: 0.4998 0.7500 0.2500  4 O 1.79
Cl: 0.1644 0.7500 0.7503  1 Fe 2.23
Cl: 0.8356 0.2500 0.2497  1 Fe 2.23
O: 0.3139 0.2500 0.9644  1 Mo 1.79, 1 Fe 1.99
O: 0.3145 0.5348 0.2490  1 Mo 1.79, 1 Fe 1.99
O: 0.3145 0.9652 0.2490  1 Mo 1.79, 1 Fe 1.99
O: 0.3158 0.2500 0.5339  1 Mo 1.79, 1 Fe 1.99
O: 0.6842 0.7500 0.4661  1 Mo 1.79, 1 Fe 1.99
O: 0.6855 0.0348 0.7510  1 Mo 1.79, 1 Fe 1.99
O: 0.6855 0.4652 0.7510  1 Mo 1.79, 1 Fe 1.99
O: 0.6861 0.7500 0.0356  1 Mo 1.79, 1 Fe 1.99